Entry from Alexandria via LeMat-Bulk: an optimized crystal structure of Sr3NbCoO7 (PBEsol).

Calculated values
- uncorrected formation energy (meV per atom) = -2481
- energy above the lowest structure with this stoichiometry (meV per atom) = 0

Cell and atoms, written as CIF:
```
data_Sr3NbCoO7
_cell_length_a 5.485
_cell_length_b 5.485
_cell_length_c 20.606
_cell_angle_alpha 90.00
_cell_angle_beta 90.00
_cell_angle_gamma 90.00
_space_group_name_H-M_alt 'A e a 2'
_space_group_IT_number 41
loop_
_space_group_symop_operation_xyz
'x,y,z'
'-x,-y,z'
'-x+1/2,y+1/2,z'
'x+1/2,-y+1/2,z'
'x,y+1/2,z+1/2'
'-x,-y+1/2,z+1/2'
'-x+1/2,y,z+1/2'
'x+1/2,-y,z+1/2'
loop_
_atom_site_label
_atom_site_type_symbol
_atom_site_fract_x
_atom_site_fract_y
_atom_site_fract_z
Sr1 Sr 0.000 0.000 0.000
Sr2 Sr 0.000 0.000 0.161
Sr3 Sr 0.000 0.000 0.372
Nb1 Nb 0.000 0.000 0.770
Co1 Co 0.000 0.000 0.578
O1 O 0.000 0.000 0.485
O2 O 0.000 0.000 0.676
O3 O 0.000 0.000 0.870
O4 O 0.190 0.190 0.273
O5 O 0.249 0.251 0.582
```

=====

Entry from Alexandria via LeMat-Bulk: an optimized crystal structure of Zr2AlZn (PBEsol).

Calculated values
- calculated formation energy (meV per atom) = -325

Cell and atoms, written as CIF:
```
data_Zr2AlZn
_cell_length_a 3.174
_cell_length_b 4.812
_cell_length_c 9.616
_cell_angle_alpha 90.00
_cell_angle_beta 90.00
_cell_angle_gamma 90.00
_space_group_name_H-M_alt 'I m m 2'
_space_group_IT_number 44
loop_
_space_group_symop_operation_xyz
'x,y,z'
'-x,-y,z'
'-x,y,z'
'x,-y,z'
'x+1/2,y+1/2,z+1/2'
'-x+1/2,-y+1/2,z+1/2'
'-x+1/2,y+1/2,z+1/2'
'x+1/2,-y+1/2,z+1/2'
loop_
_atom_site_label
_atom_site_type_symbol
_atom_site_fract_x
_atom_site_fract_y
_atom_site_fract_z
Zr1 Zr 0.000 0.000 0.000
Zr2 Zr 0.000 0.500 0.231
Al1 Al 0.000 0.000 0.461
Zn1 Zn 0.000 0.500 0.752
```

=====

- What is the formula in the first record?
  Sr3NbCoO7

=====

- Number 1 is which compound?
  Sr3NbCoO7